Run A
## YAlC3 (PBE-GGA)

Data for crystalline YAlC3 at its relaxed geometry.

Results
* space-group type: Pm-3m
* total magnetization: 0.0 μB per formula unit

a b c (Å): 3.9493 3.9493 3.9493
angles (deg): 90.00 90.00 90.00
Closest atoms and distances in Å follow each position.
Sites, in units of the cell vectors:
Y 0.0000 0.0000 0.0000  12 C 2.79
Al 0.5000 0.5000 0.5000  6 C 1.97
C 0.0000 0.5000 0.5000  2 Al 1.97
C 0.5000 0.0000 0.5000  2 Al 1.97
C 0.5000 0.5000 0.0000  2 Al 1.97

***

Run B
## YAlC3 (PBE-GGA)

Data for crystalline YAlC3 at its relaxed geometry.

Results
* space-group type: Pm-3m
* total magnetization: 0.0 μB per formula unit

a b c (Å): 4.5086 4.5086 4.5086
angles (deg): 90.00 90.00 90.00
Closest atoms and distances in Å follow each position.
Sites, in units of the cell vectors:
Y 0.0000 0.0000 0.0000  6 C 2.25
Al 0.5000 0.5000 0.5000  12 C 3.19
C 0.0000 0.0000 0.5000  2 Y 2.25
C 0.0000 0.5000 0.0000  2 Y 2.25
C 0.5000 0.0000 0.0000  2 Y 2.25

***

Most stable one: run A, least stable one: run B.

***

Run A
## Y2ZrAlC (PBE-GGA)

Data for crystalline Y2ZrAlC at its relaxed geometry.

Results
* space-group type: P4/mmm
* total magnetization: 0.0 μB per formula unit

a b c (Å): 4.8486 4.8486 4.6033
angles (deg): 90.00 90.00 90.00
Closest atoms and distances in Å follow each position.
Sites, in units of the cell vectors:
Y 0.0000 0.5000 0.0000  2 C 2.42
Y 0.5000 0.0000 0.0000  2 C 2.42
Zr 0.0000 0.0000 0.5000  2 C 2.30
Al 0.5000 0.5000 0.5000  8 Y 3.34, 4 Zr 3.43
C 0.0000 0.0000 0.0000  2 Zr 2.30, 4 Y 2.42

***

Run B
## Y2ZrAlC (PBE-GGA)

Data for crystalline Y2ZrAlC at its relaxed geometry.

Results
* space-group type: P4/mmm
* total magnetization: 0.0 μB per formula unit

a b c (Å): 5.8413 5.8413 3.6381
angles (deg): 90.00 90.00 90.00
Closest atoms and distances in Å follow each position.
Sites, in units of the cell vectors:
Y 0.0000 0.5000 0.0000  2 Al 2.92
Y 0.5000 0.0000 0.0000  2 Al 2.92
Zr 0.0000 0.0000 0.5000  8 Y 3.44, 2 Zr 3.64
Al 0.5000 0.5000 0.0000  2 C 1.82
C 0.5000 0.5000 0.5000  2 Al 1.82

***

Most stable one: run A, least stable one: run B.

***

Run A
## Al2ZnC (PBE-GGA)

Data for crystalline Al2ZnC at its relaxed geometry.

Results
* space-group type: Fm-3m
* total magnetization: 0.0 μB per formula unit

a b c (Å): 4.2482 4.2482 4.2482
angles (deg): 60.00 60.00 60.00
Closest atoms and distances in Å follow each position.
Sites, in units of the cell vectors:
Al 0.2500 0.2500 0.2500  4 C 2.60, 4 Zn 2.60
Al 0.7500 0.7500 0.7500  4 C 2.60, 4 Zn 2.60
Zn 0.0000 0.0000 0.0000  8 Al 2.60
C 0.5000 0.5000 0.5000  8 Al 2.60

***

Run B
## Al2ZnC (PBE-GGA)

Data for crystalline Al2ZnC at its relaxed geometry.

Results
* space-group type: I-42d
* total magnetization: 0.0 μB per formula unit

a b c (Å): 5.7048 5.7048 5.7048
angles (deg): 120.28 120.28 89.52
Closest atoms and distances in Å follow each position.
Sites, in units of the cell vectors:
Al 0.0254 0.6250 0.9004  2 C 1.94
Al 0.3750 0.2754 0.4004  2 C 1.94
Al 0.7246 0.1250 0.0996  2 C 1.94
Al 0.8750 0.9746 0.5996  2 C 1.94
Zn 0.2500 0.7500 0.5000  4 Al 2.64
Zn 0.5000 0.5000 0.0000  4 Al 2.64
C 0.0000 0.0000 0.0000  4 Al 1.94
C 0.7500 0.2500 0.5000  4 Al 1.94

***

Run C
## Al2ZnC (PBE-GGA)

Data for crystalline Al2ZnC at its relaxed geometry.

Results
* space-group type: R-3m
* total magnetization: 0.0 μB per formula unit

a b c (Å): 7.3688 7.3688 7.3688
angles (deg): 24.33 24.33 24.33
Closest atoms and distances in Å follow each position.
Sites, in units of the cell vectors:
Al 0.1184 0.1184 0.1184  3 C 2.07
Al 0.8816 0.8816 0.8816  3 C 2.07
Zn 0.0000 0.0000 0.0000  2 Al 2.54
C 0.5000 0.5000 0.5000  6 Al 2.07

***

Most stable one: run C, least stable one: run A.